Density functional theory data (PBE) for a relaxed Ba3YTa2O9 crystal.

POSCAR file:
```
Ba3YTa2O9
1.0
5.9714 0.0000 0.0000
-2.9857 5.1714 0.0000
0.0000 0.0000 7.3259
Ba Y Ta O
3 1 2 9
direct
0.0000 0.0000 0.0000 Ba
0.3333 0.6667 0.6683 Ba
0.6667 0.3333 0.3317 Ba
0.0000 0.0000 0.5000 Y
0.3333 0.6667 0.1627 Ta
0.6667 0.3333 0.8373 Ta
0.0000 0.5000 0.0000 O
0.1756 0.3511 0.3179 O
0.1756 0.8244 0.3179 O
0.3511 0.1756 0.6821 O
0.5000 0.0000 0.0000 O
0.5000 0.5000 0.0000 O
0.6489 0.8244 0.3179 O
0.8244 0.1756 0.6821 O
0.8244 0.6489 0.6821 O
```

Calculated values
M_tot: 0.0 μB per formula unit
density of states at the Fermi level: 0.23 states/eV per atom
DFT total energy: -126.2 eV per formula unit
symmetry: P-3m1 (164)

=====

Density functional theory data (PBE) for a relaxed Ba2YTa3O12 crystal.

POSCAR file:
```
Ba2YTa3O12
1.0
3.8026 2.1954 5.6843
-3.8026 2.1954 5.6843
0.0000 -4.3909 5.6843
Ba Y Ta O
2 1 3 12
direct
0.1264 0.1264 0.1264 Ba
0.8736 0.8736 0.8736 Ba
0.5000 0.5000 0.5000 Y
0.0000 0.5000 0.5000 Ta
0.5000 0.0000 0.5000 Ta
0.5000 0.5000 0.0000 Ta
0.1165 0.6171 0.6171 O
0.2115 0.2115 0.5869 O
0.2115 0.5869 0.2115 O
0.3829 0.3829 0.8835 O
0.3829 0.8835 0.3829 O
0.4131 0.7885 0.7885 O
0.5869 0.2115 0.2115 O
0.6171 0.1165 0.6171 O
0.6171 0.6171 0.1165 O
0.7885 0.4131 0.7885 O
0.7885 0.7885 0.4131 O
0.8835 0.3829 0.3829 O
```

Calculated values
M_tot: 2.1 μB per formula unit
density of states at the Fermi level: 0.40 states/eV per atom
DFT total energy: -154.4 eV per formula unit
symmetry: R-3m (166)

=====

Density functional theory data (PBE) for a relaxed BaY2TaO crystal.

POSCAR file:
```
BaY2TaO
1.0
5.7476 0.0000 0.0000
0.0000 5.7476 0.0000
0.0000 0.0000 4.9972
Ba Y Ta O
1 2 1 1
direct
0.0000 0.0000 0.0000 Ba
0.0000 0.5000 0.0000 Y
0.5000 0.0000 0.0000 Y
0.0000 0.0000 0.5000 Ta
0.5000 0.5000 0.5000 O
```

Calculated values
M_tot: 0.3 μB per formula unit
density of states at the Fermi level: 0.95 states/eV per atom
DFT total energy: -21.3 eV per formula unit
symmetry: P4/mmm (123)

=====

Density functional theory data (PBE) for a relaxed Ba3Ta2ZnO9 crystal.

POSCAR file:
```
Ba3Ta2ZnO9
1.0
5.8515 0.0000 0.0000
-2.9258 5.0676 0.0000
0.0000 0.0000 7.1993
Ba Ta Zn O
3 2 1 9
direct
0.0000 0.0000 0.0000 Ba
0.3333 0.6667 0.6618 Ba
0.6667 0.3333 0.3382 Ba
0.3333 0.6667 0.1747 Ta
0.6667 0.3333 0.8253 Ta
0.0000 0.0000 0.5000 Zn
0.0000 0.5000 0.0000 O
0.1728 0.3456 0.3226 O
0.1728 0.8272 0.3226 O
0.3456 0.1728 0.6774 O
0.5000 0.0000 0.0000 O
0.5000 0.5000 0.0000 O
0.6544 0.8272 0.3226 O
0.8272 0.1728 0.6774 O
0.8272 0.6544 0.6774 O
```

Calculated values
M_tot: 0.0 μB per formula unit
density of states at the Fermi level: 0.00 states/eV per atom
DFT total energy: -117.3 eV per formula unit
symmetry: P-3m1 (164)

=====

Density functional theory data (PBE) for a relaxed BaTaZn2O crystal.

POSCAR file:
```
BaTaZn2O
1.0
6.0311 0.0000 0.0000
0.0000 6.0311 0.0000
0.0000 0.0000 4.4048
Ba Ta Zn O
1 1 2 1
direct
0.0000 0.0000 0.0000 Ba
0.5000 0.5000 0.5000 Ta
0.0000 0.5000 0.0000 Zn
0.5000 0.0000 0.0000 Zn
0.0000 0.0000 0.5000 O
```

Calculated values
M_tot: 3.4 μB per formula unit
density of states at the Fermi level: 1.51 states/eV per atom
DFT total energy: -15.5 eV per formula unit
symmetry: P4/mmm (123)

=====

Density functional theory data (PBE) for a relaxed Ba3TaZn2O8 crystal.

POSCAR file:
```
Ba3TaZn2O8
1.0
5.8687 0.0000 0.0000
-2.9343 5.0824 0.0000
0.0000 0.0000 7.6351
Ba Ta Zn O
3 1 2 8
direct
0.0000 0.0000 0.0000 Ba
0.3333 0.6667 0.6498 Ba
0.6667 0.3333 0.3502 Ba
0.0000 0.0000 0.5000 Ta
0.3333 0.6667 0.2244 Zn
0.6667 0.3333 0.7756 Zn
0.1587 0.3175 0.3440 O
0.1587 0.8413 0.3440 O
0.3175 0.1587 0.6560 O
0.3333 0.6667 0.9805 O
0.6667 0.3333 0.0195 O
0.6825 0.8413 0.3440 O
0.8413 0.1587 0.6560 O
0.8413 0.6825 0.6560 O
```

Calculated values
M_tot: 1.1 μB per formula unit
density of states at the Fermi level: 0.56 states/eV per atom
DFT total energy: -91.7 eV per formula unit
symmetry: P-3m1 (164)

=====

Density functional theory data (PBE) for a relaxed BaZrTa2O8 crystal.

POSCAR file:
```
BaZrTa2O8
1.0
5.9679 0.0000 0.0000
-2.9839 5.1683 0.0000
0.0000 0.0000 7.3670
Ba Zr Ta O
1 1 2 8
direct
0.0000 0.0000 0.0000 Ba
0.0000 0.0000 0.5000 Zr
0.3333 0.6667 0.7535 Ta
0.6667 0.3333 0.2465 Ta
0.1577 0.3176 0.6792 O
0.1599 0.8423 0.6792 O
0.3176 0.1599 0.3208 O
0.3333 0.6667 0.9986 O
0.6667 0.3333 0.0014 O
0.6824 0.8401 0.6792 O
0.8401 0.1577 0.3208 O
0.8423 0.6824 0.3208 O
```

Calculated values
M_tot: 0.0 μB per formula unit
density of states at the Fermi level: 0.00 states/eV per atom
DFT total energy: -109.5 eV per formula unit
symmetry: P-3 (147)

=====

Density functional theory data (PBE) for a relaxed Ba3ZrTa4O15 crystal.

POSCAR file:
```
Ba3ZrTa4O15
1.0
12.8401 0.0000 0.0000
0.0000 12.8401 0.0000
0.0000 0.0000 4.0472
Ba Zr Ta O
6 2 8 30
direct
0.0000 0.0000 0.0000 Ba
0.1698 0.3302 0.9984 Ba
0.3302 0.8302 0.9984 Ba
0.5000 0.5000 0.0000 Ba
0.6698 0.1698 0.9984 Ba
0.8302 0.6698 0.9984 Ba
0.0000 0.5000 0.4926 Zr
0.5000 0.0000 0.4926 Zr
0.0752 0.7871 0.5079 Ta
0.2129 0.0752 0.5079 Ta
0.2871 0.5752 0.5079 Ta
0.4248 0.2871 0.5079 Ta
0.5752 0.7129 0.5079 Ta
0.7129 0.4248 0.5079 Ta
0.7871 0.9248 0.5079 Ta
0.9248 0.2129 0.5079 Ta
0.0000 0.5000 0.9922 O
0.0101 0.3352 0.4915 O
0.0661 0.1383 0.4919 O
0.0820 0.7957 0.9915 O
0.1383 0.9339 0.4919 O
0.1648 0.4899 0.4915 O
0.2043 0.0820 0.9915 O
0.2166 0.7166 0.4918 O
0.2834 0.2166 0.4918 O
0.2957 0.5820 0.9915 O
0.3352 0.9899 0.4915 O
0.3617 0.4339 0.4919 O
0.4180 0.2957 0.9915 O
0.4339 0.6383 0.4919 O
0.4899 0.8352 0.4915 O
0.5000 0.0000 0.9922 O
0.5101 0.1648 0.4915 O
0.5661 0.3617 0.4919 O
0.5820 0.7043 0.9915 O
0.6383 0.5661 0.4919 O
0.6648 0.0101 0.4915 O
0.7043 0.4180 0.9915 O
0.7166 0.7834 0.4918 O
0.7834 0.2834 0.4918 O
0.7957 0.9180 0.9915 O
0.8352 0.5101 0.4915 O
0.8617 0.0661 0.4919 O
0.9180 0.2043 0.9915 O
0.9339 0.8617 0.4919 O
0.9899 0.6648 0.4915 O
```

Calculated values
M_tot: 0.1 μB per formula unit
density of states at the Fermi level: 0.00 states/eV per atom
DFT total energy: -205.8 eV per formula unit
symmetry: P4bm (100)